No. 1
{"formula": "AcSm4Dy7", "functional": "GGA-PBE", "state": "relaxed", "lattice_angstrom": [[6.0777, 0.0000, 0.0000], [3.0388, 11.1210, -0.2340], [3.0388, 0.1546, 6.1597]], "species": ["Ac", "Sm", "Sm", "Sm", "Sm", "Dy", "Dy", "Dy", "Dy", "Dy", "Dy", "Dy"], "frac_coords": [[0.0000, 0.0000, 0.0000], [0.6289, 0.2243, 0.5180], [0.3711, 0.7757, 0.4820], [0.7477, 0.6813, 0.8233], [0.2523, 0.3187, 0.1767], [0.7837, 0.9206, 0.5121], [0.2163, 0.0794, 0.4879], [0.0545, 0.6596, 0.2313], [0.9455, 0.3404, 0.7687], [0.3661, 0.5053, 0.7626], [0.5000, 0.0000, 0.0000], [0.6339, 0.4947, 0.2374]], "de_polymorph_ev_per_atom": 0.275, "formation_enthalpy_0k_ev_per_fu": 3.54, "space_group": "No. 12", "crystal_system": "monoclinic"}

No. 2
{"formula": "NbNiPd", "functional": "GGA-PBE", "state": "relaxed", "lattice_angstrom": [[-2.7195, 1.6377, -1.9850], [1.2622, -5.3908, -6.1769], [-1.9078, -1.7691, 1.1542]], "species": ["Nb", "Nb", "Ni", "Ni", "Pd", "Pd"], "frac_coords": [[0.0000, 0.7321, 0.0000], [0.5000, 0.2679, 0.5000], [0.0000, 0.4279, 0.0000], [0.5000, 0.5721, 0.5000], [0.0000, 0.0941, 0.0000], [0.5000, 0.9059, 0.5000]], "de_polymorph_ev_per_atom": 0.027, "formation_enthalpy_0k_ev_per_fu": -0.93, "space_group": "No. 59", "crystal_system": "orthorhombic"}

No. 3
{"formula": "TlCd3Hg12", "functional": "GGA-PBE", "state": "relaxed", "lattice_angstrom": [[-1.4385, -3.1728, -2.8478], [0.3154, -3.5218, 3.7644], [-17.0919, 3.5139, 4.7190]], "species": ["Tl", "Cd", "Cd", "Cd", "Hg", "Hg", "Hg", "Hg", "Hg", "Hg", "Hg", "Hg", "Hg", "Hg", "Hg", "Hg"], "frac_coords": [[0.0000, 0.0000, 0.0000], [0.0000, 0.0000, 0.2594], [0.0000, 0.0000, 0.5000], [0.0000, 0.0000, 0.7406], [0.5000, 0.5000, 0.0000], [0.5000, 0.5000, 0.2553], [0.5000, 0.5000, 0.5000], [0.5000, 0.5000, 0.7447], [0.5000, 0.0000, 0.1379], [0.5000, 0.0000, 0.3795], [0.5000, 0.0000, 0.6205], [0.5000, 0.0000, 0.8621], [0.0000, 0.5000, 0.1302], [0.0000, 0.5000, 0.3786], [0.0000, 0.5000, 0.6214], [0.0000, 0.5000, 0.8698]], "formation_enthalpy_0k_ev_per_fu": 0.21, "space_group": "No. 47", "crystal_system": "orthorhombic"}

No. 4
{"formula": "NaLi2V", "functional": "GGA-PBE", "state": "relaxed", "lattice_angstrom": [[-1.8545, -6.5606, -3.3990], [4.2442, 1.9227, -6.0269], [3.5976, -3.6541, -3.4468]], "species": ["Na", "Na", "V", "V", "Li", "Li", "Li", "Li"], "frac_coords": [[0.5000, 0.5000, 0.0000], [0.2500, 0.7500, 0.5000], [0.0000, 0.0000, 0.0000], [0.7500, 0.2500, 0.5000], [0.6271, 0.1250, 0.2500], [0.1229, 0.6250, 0.2500], [0.3750, 0.3729, 0.7500], [0.8750, 0.8771, 0.7500]], "de_polymorph_ev_per_atom": 0.084, "formation_enthalpy_0k_ev_per_fu": 2.95, "space_group": "No. 122", "crystal_system": "tetragonal"}

No. 5
{"formula": "CaSc2PC", "functional": "GGA-PBE", "state": "relaxed", "lattice_angstrom": [[-1.7180, -1.8296, 4.5877], [-2.2903, -2.6055, -1.8968], [3.9011, -3.4818, 0.0723]], "species": ["Sc", "Sc", "P", "Ca", "C"], "frac_coords": [[0.0000, 0.0000, 0.5000], [0.5000, 0.0000, 0.0000], [0.5000, 0.5000, 0.5000], [0.0000, 0.0000, 0.0000], [0.0000, 0.5000, 0.0000]], "formation_enthalpy_0k_ev_per_fu": 8.13, "space_group": "No. 123", "crystal_system": "tetragonal"}

No. 6
{"formula": "ScV2Sb2", "functional": "GGA-PBE", "state": "relaxed", "lattice_angstrom": [[-0.4760, -3.2663, -1.7616], [3.6104, -0.8184, 0.5419], [-0.0951, -5.2006, 5.6952]], "species": ["Sc", "Sb", "Sb", "V", "V"], "frac_coords": [[0.0000, 0.0000, 0.0000], [0.3870, 0.3870, 0.2261], [0.6130, 0.6130, 0.7739], [0.7500, 0.2500, 0.5000], [0.2500, 0.7500, 0.5000]], "de_polymorph_ev_per_atom": 0.000, "space_group": "No. 139", "raw_formation_energy_kj_per_mol_fu": -74, "crystal_system": "tetragonal"}

No. 7
{"formula": "Ce2HfPaN4", "functional": "GGA-PBE", "state": "relaxed", "lattice_angstrom": [[-0.5058, -3.2464, -0.9481], [2.2684, 1.2154, -5.3718], [4.4998, -1.7629, 3.6358]], "species": ["Ce", "Ce", "Hf", "Pa", "N", "N", "N", "N"], "frac_coords": [[0.5000, 0.0000, 0.5000], [0.0000, 0.5000, 0.5000], [0.0000, 0.0000, 0.0000], [0.5000, 0.5000, 0.0000], [0.5000, 0.2278, 0.2143], [0.5000, 0.7722, 0.7857], [0.0000, 0.2446, 0.7809], [0.0000, 0.7554, 0.2191]], "space_group": "No. 10", "raw_formation_energy_kj_per_mol_fu": -1275, "crystal_system": "monoclinic"}

No. 8
{"formula": "Na3NbAg2S6", "functional": "GGA-PBE", "state": "relaxed", "lattice_angstrom": [[6.7402, -0.1623, 0.0454], [-3.5090, 5.7571, 0.0454], [-1.0335, -1.7895, 6.4595]], "species": ["Na", "Na", "Na", "Nb", "Ag", "Ag", "S", "S", "S", "S", "S", "S"], "frac_coords": [[0.1824, 0.8176, 0.5000], [0.8176, 0.1824, 0.5000], [0.5000, 0.5000, 0.5000], [0.0000, 0.0000, 0.0000], [0.3402, 0.6598, 0.0000], [0.6598, 0.3402, 0.0000], [0.9131, 0.6081, 0.7919], [0.7850, 0.7850, 0.2378], [0.0869, 0.3919, 0.2081], [0.6081, 0.9131, 0.7919], [0.2150, 0.2150, 0.7622], [0.3919, 0.0869, 0.2081]], "space_group": "No. 12", "raw_formation_energy_kj_per_mol_fu": -711, "crystal_system": "monoclinic"}

No. 9
{"formula": "Ti2BeTlAg", "functional": "GGA-PBE", "state": "relaxed", "lattice_angstrom": [[4.9192, 0.0000, 0.0000], [0.0000, 5.0738, 0.0000], [0.0000, 0.0000, 4.9192]], "species": ["Be", "Tl", "Ag", "Ti", "Ti"], "frac_coords": [[0.5000, 0.5000, 0.5000], [0.0000, 0.5000, 0.0000], [0.0000, 0.0000, 0.0000], [0.0000, 0.0000, 0.5000], [0.5000, 0.0000, 0.0000]], "formation_enthalpy_0k_ev_per_fu": 7.00, "space_group": "No. 123", "crystal_system": "tetragonal"}

No. 10
{"formula": "CdMo2Se", "functional": "GGA-PBE", "state": "relaxed", "lattice_angstrom": [[4.6359, 0.0000, 0.0000], [2.3179, 4.0148, 0.0000], [2.3179, 1.3383, 3.7852]], "species": ["Cd", "Mo", "Mo", "Se"], "frac_coords": [[0.5000, 0.5000, 0.5000], [0.0000, 0.0000, 0.0000], [0.2500, 0.2500, 0.2500], [0.7500, 0.7500, 0.7500]], "de_polymorph_ev_per_atom": 0.463, "space_group": "No. 216", "raw_formation_energy_kj_per_mol_fu": 235, "crystal_system": "cubic"}

No. 11
{"formula": "Rb2Hf3S6", "functional": "GGA-PBE", "state": "relaxed", "lattice_angstrom": [[6.0797, 0.0000, 1.8113], [3.0399, 5.4935, 0.9056], [-0.2497, 0.0000, 8.2447]], "species": ["Rb", "Rb", "Hf", "Hf", "Hf", "S", "S", "S", "S", "S", "S"], "frac_coords": [[0.1667, 0.6666, 0.5000], [0.8333, 0.3334, 0.5000], [0.0000, 0.0000, 0.0000], [0.3332, 0.3337, 0.0000], [0.6668, 0.6663, 0.0000], [0.3954, 0.6686, 0.8139], [0.7268, 0.0000, 0.8137], [0.0640, 0.3314, 0.8139], [0.2732, 0.0000, 0.1863], [0.6046, 0.3314, 0.1861], [0.9360, 0.6686, 0.1861]], "space_group": "No. 12", "raw_formation_energy_kj_per_mol_fu": -1649, "crystal_system": "monoclinic"}

No. 12
{"formula": "Mn2PN", "functional": "GGA-PBE", "state": "relaxed", "lattice_angstrom": [[-0.1075, 4.0368, -2.4022], [-2.0636, -2.1992, -3.6033], [-5.2602, 1.8809, -1.1991]], "species": ["P", "P", "Mn", "Mn", "Mn", "Mn", "N", "N"], "frac_coords": [[0.0000, 0.0000, 0.0000], [0.7500, 0.2500, 0.5000], [0.5516, 0.1250, 0.2500], [0.1984, 0.6250, 0.2500], [0.3750, 0.4484, 0.7500], [0.8750, 0.8016, 0.7500], [0.5000, 0.5000, 0.0000], [0.2500, 0.7500, 0.5000]], "de_polymorph_ev_per_atom": 0.000, "space_group": "No. 122", "raw_formation_energy_kj_per_mol_fu": -63, "crystal_system": "tetragonal"}